[1]
6
Lattice="0.0000 3.6209 3.6209 3.6209 0.0000 3.6209 3.6209 3.6209 0.0000" Properties=species:S:1:pos:R:3 comment="LaThCo4, optimized geometry, DFT PBE" formation_enthalpy_0k_ev_per_fu=-0.729 dft_energy_ev_per_atom=-6.92 pbc="T T T"
La 0.0000 0.0000 0.0000
Th 1.8104 1.8104 1.8104
Co 4.5253 2.7165 2.7165
Co 2.7165 4.5253 2.7165
Co 2.7165 2.7165 4.5253
Co 4.5253 4.5253 4.5253

[2]
4
Lattice="2.2097 1.2758 7.9659 -2.2097 1.2758 7.9659 0.0000 -2.5516 7.9659" Properties=species:S:1:pos:R:3 comment="GaBiTe2, optimized geometry, DFT PBE" dft_energy_ev_per_atom=-3.48 formation_energy_uncorrected_mev_per_atom=-177.6 pbc="T T T"
Ga 0.0000 0.0000 0.0000
Bi 0.0000 0.0000 4.2375
Te 0.0000 0.0000 14.2097
Te 0.0000 0.0000 18.3867

[3]
4
Lattice="4.4384 0.0000 0.0000 0.0000 4.4384 0.0000 0.0000 0.0000 3.4955" Properties=species:S:1:pos:R:3 comment="Ti2InMo, optimized geometry, DFT PBE" formation_enthalpy_0k_ev_per_fu=-0.537 dft_energy_ev_per_atom=-7.47 pbc="T T T"
Ti 0.0000 2.2192 0.0000
Ti 2.2192 0.0000 0.0000
In 0.0000 0.0000 1.7478
Mo 2.2192 2.2192 1.7478

[4]
5
Lattice="4.4012 0.0000 0.0000 0.0000 4.4012 0.0000 0.0000 0.0000 5.7008" Properties=species:S:1:pos:R:3 comment="NaLiTa2Cl, optimized geometry, DFT PBE" dft_energy_ev_per_atom=-4.32 formation_energy_uncorrected_mev_per_atom=1441.5 pbc="T T T"
Na 0.0000 0.0000 0.0000
Li 2.2006 2.2006 2.8504
Ta 0.0000 2.2006 2.8504
Ta 2.2006 0.0000 2.8504
Cl 2.2006 2.2006 0.0000

[5]
10
Lattice="7.7313 0.0000 0.0000 0.0000 7.7313 0.0000 0.0000 0.0000 5.1923" Properties=species:S:1:pos:R:3 comment="Ba2Hg2Rh, optimized geometry, DFT PBE" formation_enthalpy_0k_ev_per_fu=-0.768 dft_energy_ev_per_atom=-2.51 pbc="T T T"
Ba 1.3896 2.4761 0.0000
Ba 2.4761 6.3417 0.0000
Ba 5.2552 1.3896 0.0000
Ba 6.3417 5.2552 0.0000
Hg 1.0732 4.9388 2.5961
Hg 2.7925 1.0732 2.5961
Hg 4.9388 6.6582 2.5961
Hg 6.6582 2.7925 2.5961
Rh 0.0000 0.0000 2.5961
Rh 3.8657 3.8657 2.5961

[6]
8
Lattice="-1.5480 4.3290 5.0523 1.5480 -4.3290 5.0523 1.5480 4.3290 -5.0523" Properties=species:S:1:pos:R:3 comment="Li3Ge4Pd, optimized geometry, DFT PBE" formation_enthalpy_0k_ev_per_fu=-1.939 dft_energy_ev_per_atom=-3.92 pbc="T T T"
Li 0.0000 0.0000 0.0000
Li 1.5480 0.0000 2.8663
Li 0.0000 4.3290 2.1860
Ge 1.5480 2.1766 -1.3935
Ge 1.5480 2.1766 1.3935
Ge 0.0000 2.1524 3.6588
Ge 0.0000 2.1524 6.4458
Pd 0.0000 0.0000 5.0523

[7]
4
Lattice="4.4418 0.0000 0.0000 0.0000 4.4418 0.0000 0.0000 0.0000 4.2615" Properties=species:S:1:pos:R:3 comment="TbCdGa2, optimized geometry, DFT PBE" formation_enthalpy_0k_ev_per_fu=-1.731 dft_energy_ev_per_atom=-3.33 pbc="T T T"
Tb 0.0000 0.0000 0.0000
Cd 2.2209 2.2209 0.0000
Ga 0.0000 2.2209 2.1308
Ga 2.2209 0.0000 2.1308

[8]
3
Lattice="3.9192 -1.8260 0.0000 3.9192 1.8260 0.0000 -2.3710 0.0000 5.6209" Properties=species:S:1:pos:R:3 comment="ZnTeSe, optimized geometry, DFT PBE" dft_energy_ev_per_atom=-2.85 formation_energy_uncorrected_mev_per_atom=-217.9 pbc="T T T"
Zn 0.0000 0.0000 0.0000
Te 3.7919 0.0000 3.6561
Se 5.1191 0.0000 1.0809

[9]
4
Lattice="1.4184 -2.2339 0.0000 1.4184 2.2339 0.0000 0.0000 0.0000 8.4212" Properties=species:S:1:pos:R:3 comment="Cr2IrRh, optimized geometry, DFT PBE" formation_enthalpy_0k_ev_per_fu=0.673 dft_energy_ev_per_atom=-8.70 pbc="T T T"
Cr 0.0000 0.0000 0.0000
Cr 1.4184 0.0000 1.7999
Ir 0.0000 0.0000 3.9227
Rh 1.4184 0.0000 6.3189

[10]
5
Lattice="3.6410 0.0000 0.0000 0.0000 3.6410 0.0000 0.0000 0.0000 5.6074" Properties=species:S:1:pos:R:3 comment="LaHS2N, optimized geometry, DFT PBE" dft_energy_ev_per_atom=-5.00 pbc="T T T"
La 0.0000 0.0000 0.0000
H 1.8205 1.8205 2.8037
S 0.0000 1.8205 2.8037
S 1.8205 0.0000 2.8037
N 1.8205 1.8205 0.0000

[11]
4
Lattice="3.5671 0.0000 0.0000 0.0000 3.5803 0.0000 0.0000 0.0000 8.2236" Properties=species:S:1:pos:R:3 comment="KPtSe2, optimized geometry, DFT PBE" dft_energy_ev_per_atom=-3.74 formation_energy_uncorrected_mev_per_atom=-211.5 pbc="T T T"
K 0.0000 0.0000 0.0000
Pt 1.7835 1.7902 3.8103
Se 0.0000 0.0000 3.1942
Se 1.7835 1.7902 6.2764

[12]
3
Lattice="0.0000 3.3105 3.3105 3.3105 0.0000 3.3105 3.3105 3.3105 0.0000" Properties=species:S:1:pos:R:3 comment="SrFeOs, optimized geometry, DFT PBE" formation_enthalpy_0k_ev_per_fu=6.531 dft_energy_ev_per_atom=-4.95 pbc="T T T"
Sr 0.0000 0.0000 0.0000
Fe 1.6552 1.6552 1.6552
Os 4.9657 4.9657 4.9657

[13]
5
Lattice="5.3409 0.0000 0.0000 0.0000 5.3409 0.0000 0.0000 0.0000 5.4350" Properties=species:S:1:pos:R:3 comment="La2MgHgRu, optimized geometry, DFT PBE" formation_enthalpy_0k_ev_per_fu=-0.758 dft_energy_ev_per_atom=-4.36 pbc="T T T"
La 0.0000 2.6704 0.0000
La 2.6704 0.0000 0.0000
Mg 0.0000 0.0000 2.7175
Hg 2.6704 2.6704 2.7175
Ru 2.6704 2.6704 0.0000

[14]
5
Lattice="5.0595 0.0000 0.0000 0.0000 5.0595 0.0000 0.0000 0.0000 5.0595" Properties=species:S:1:pos:R:3 comment="Li3CaV, optimized geometry, DFT PBE" formation_enthalpy_0k_ev_per_fu=3.268 dft_energy_ev_per_atom=-2.72 pbc="T T T"
Li 0.0000 0.0000 2.5297
Li 0.0000 2.5297 0.0000
Li 2.5297 0.0000 0.0000
Ca 2.5297 2.5297 2.5297
V 0.0000 0.0000 0.0000

[15]
6
Lattice="4.8953 -1.4493 0.0000 4.8953 1.4493 0.0000 -1.1958 0.0000 3.6323" Properties=species:S:1:pos:R:3 comment="H2Pd, optimized geometry, DFT PBE" dft_energy_ev_per_atom=-3.89 pbc="T T T"
H 0.3582 0.0000 0.4758
H 2.5808 0.0000 1.0517
H 6.0140 0.0000 2.5806
H 8.2366 0.0000 3.1565
Pd 2.3323 0.0000 2.9749
Pd 6.2624 0.0000 0.6574

[16]
12
Lattice="6.5448 0.0000 0.0000 0.0000 3.7428 0.0000 0.0000 0.0000 7.0657" Properties=species:S:1:pos:R:3 comment="UNiN, optimized geometry, DFT PBE" dft_energy_ev_per_atom=-9.07 formation_energy_uncorrected_mev_per_atom=-607.2 pbc="T T T"
U 1.0550 0.9357 1.0792
U 2.2173 2.8071 4.6120
U 4.3274 0.9357 2.4536
U 5.4897 2.8071 5.9865
Ni 0.2633 0.9357 4.1907
Ni 3.0091 2.8071 0.6579
Ni 3.5357 0.9357 6.4078
Ni 6.2814 2.8071 2.8750
N 0.3024 0.9357 6.0937
N 2.9699 2.8071 2.5608
N 3.5748 0.9357 4.5048
N 6.2423 2.8071 0.9720

[17]
14
Lattice="7.4225 0.0000 0.0000 0.0000 8.3007 0.0000 -0.3009 0.0000 10.9001" Properties=species:S:1:pos:R:3 comment="K2CoI4, optimized geometry, DFT PBE" dft_energy_ev_per_atom=-3.05 formation_energy_uncorrected_mev_per_atom=-835.7 pbc="T T T"
K 1.1448 2.0752 5.4168
K 1.3105 2.0752 0.1071
K 5.8111 6.2255 10.7930
K 5.9768 6.2255 5.4833
Co 1.3332 6.2255 2.7641
Co 5.7884 2.0752 8.1361
I -0.0638 8.2979 8.1882
I -0.0638 4.1531 8.1882
I 2.4753 6.2255 5.0577
I 2.6339 6.2255 0.5579
I 4.4877 2.0752 10.3422
I 4.6464 2.0752 5.8424
I 7.1854 0.0028 2.7119
I 7.1854 4.1475 2.7119

[18]
3
Lattice="-1.7266 1.7266 7.0773 1.7266 -1.7266 7.0773 1.7266 1.7266 -7.0773" Properties=species:S:1:pos:R:3 comment="PrPuPa, optimized geometry, DFT PBE" formation_enthalpy_0k_ev_per_fu=0.506 dft_energy_ev_per_atom=-9.37 pbc="T T T"
Pr 0.0000 0.0000 0.0000
Pu 0.0000 0.0000 4.3230
Pa 0.0000 0.0000 9.5123

[19]
15
Lattice="6.5498 -3.8808 0.0000 6.5498 3.8808 0.0000 -4.4219 0.0000 6.5927" Properties=species:S:1:pos:R:3 comment="Rb3Ac3IO8, optimized geometry, DFT PBE" dft_energy_ev_per_atom=-5.77 formation_energy_uncorrected_mev_per_atom=-2009.9 pbc="T T T"
Rb 0.0000 0.0000 0.0000
Rb 3.2749 1.9404 0.0000
Rb 3.2749 -1.9404 0.0000
Ac 1.0640 1.9404 3.2963
Ac 1.0640 -1.9404 3.2963
Ac 4.3389 0.0000 3.2963
I -2.2109 0.0000 3.2963
O -0.3045 0.0000 4.3522
O 3.2935 1.9845 4.4537
O 5.3843 1.9845 2.1389
O 2.1170 0.0000 2.0883
O 6.5608 0.0000 4.5043
O 3.2935 -1.9845 4.4537
O 5.3843 -1.9845 2.1389
O 8.9822 0.0000 2.2405

[20]
10
Lattice="1.9232 -5.1607 0.0000 1.9232 5.1607 0.0000 0.0000 0.0000 6.7550" Properties=species:S:1:pos:R:3 comment="CaFe2SiC, optimized geometry, DFT PBE" dft_energy_ev_per_atom=-6.96 formation_energy_uncorrected_mev_per_atom=-246.0 pbc="T T T"
Ca 1.9232 4.6599 5.0662
Ca 1.9232 -4.6599 1.6887
Fe 1.9232 1.7198 3.8090
Fe 1.9232 1.7198 6.3234
Fe 1.9232 -1.7198 0.4316
Fe 1.9232 -1.7198 2.9459
Si 1.9232 2.7745 1.6887
Si 1.9232 -2.7745 5.0662
C 1.9232 0.0000 0.0000
C 1.9232 0.0000 3.3775

[21]
7
Lattice="7.6611 -1.5169 0.0000 7.6611 1.5169 0.0000 -3.3023 0.0000 6.3777" Properties=species:S:1:pos:R:3 comment="Hf3Ti2In2, optimized geometry, DFT PBE" formation_enthalpy_0k_ev_per_fu=0.402 dft_energy_ev_per_atom=-7.25 pbc="T T T"
Hf 0.0000 0.0000 0.0000
Hf 2.3458 0.0000 1.8371
Hf 9.6741 0.0000 4.5407
Ti -0.3950 0.0000 5.4171
Ti 12.4149 0.0000 0.9607
In 4.6899 0.0000 3.7648
In 7.3301 0.0000 2.6129

[22]
4
Lattice="3.7754 0.0000 0.0000 0.0000 4.4212 0.0000 -1.9013 0.0000 5.4834" Properties=species:S:1:pos:R:3 comment="CdBiAu2, optimized geometry, DFT PBE" formation_enthalpy_0k_ev_per_fu=-0.370 dft_energy_ev_per_atom=-2.93 pbc="T T T"
Cd 0.0000 0.0000 0.0000
Bi 1.8881 2.2106 2.2707
Au 0.0039 0.0000 2.9858
Au -0.0147 2.2106 4.8727

[23]
12
Lattice="6.0543 0.0000 0.0000 0.0000 4.5248 0.0000 0.0000 0.0000 10.0918" Properties=species:S:1:pos:R:3 comment="ZrInSn, optimized geometry, DFT PBE" formation_enthalpy_0k_ev_per_fu=-0.912 dft_energy_ev_per_atom=-5.40 pbc="T T T"
Zr 0.8546 1.1312 1.2250
Zr 2.1725 3.3936 6.2709
Zr 3.8818 1.1312 3.8209
Zr 5.1997 3.3936 8.8668
In 0.8212 1.1312 7.8591
In 2.2060 3.3936 2.8132
In 3.8483 1.1312 7.2785
In 5.2332 3.3936 2.2326
Sn 0.8691 1.1312 4.4336
Sn 2.1581 3.3936 9.4795
Sn 3.8962 1.1312 0.6123
Sn 5.1853 3.3936 5.6582

[24]
10
Lattice="7.5730 0.0000 0.0000 0.0000 7.5730 0.0000 0.0000 0.0000 2.6204" Properties=species:S:1:pos:R:3 comment="NaMn2Al2, optimized geometry, DFT PBE" formation_enthalpy_0k_ev_per_fu=0.519 dft_energy_ev_per_atom=-5.32 pbc="T T T"
Na 0.0000 0.0000 0.0000
Na 3.7865 3.7865 0.0000
Mn 0.7367 3.0498 0.0000
Mn 3.0498 6.8363 0.0000
Mn 4.5233 0.7367 0.0000
Mn 6.8363 4.5233 0.0000
Al 1.4178 5.2043 1.3102
Al 2.3687 1.4178 1.3102
Al 5.2043 6.1553 1.3102
Al 6.1553 2.3687 1.3102

[25]
7
Lattice="3.1373 -1.8445 0.0000 3.1373 1.8445 0.0000 -2.4029 0.0000 14.1569" Properties=species:S:1:pos:R:3 comment="RuN2Cl4, optimized geometry, DFT PBE" dft_energy_ev_per_atom=-3.90 formation_energy_uncorrected_mev_per_atom=856.8 pbc="T T T"
Ru 0.0000 0.0000 0.0000
N -0.5747 0.0000 8.6424
N 4.4463 0.0000 5.5145
Cl -0.3823 0.0000 4.8881
Cl -0.3011 0.0000 12.9532
Cl 4.1728 0.0000 1.2037
Cl 4.2539 0.0000 9.2689

[26]
4
Lattice="4.5936 0.0000 0.0000 0.0000 4.5936 0.0000 0.0000 0.0000 3.2434" Properties=species:S:1:pos:R:3 comment="Ta2TiMo, optimized geometry, DFT PBE" formation_enthalpy_0k_ev_per_fu=-0.229 dft_energy_ev_per_atom=-10.67 pbc="T T T"
Ta 0.0000 2.2968 0.0000
Ta 2.2968 0.0000 0.0000
Ti 0.0000 0.0000 1.6217
Mo 2.2968 2.2968 1.6217